This record from the Open Quantum Materials Database describes CoReSiNi after structural relaxation. The functional is PBE-GGA.

Cell and atoms, written as CIF:
```
data_CoReSiNi
_chemical_formula_sum 'Co1 Re1 Si1 Ni1'
_cell_length_a 4.0683
_cell_length_b 4.0683
_cell_length_c 4.0683
_cell_angle_alpha 60.00
_cell_angle_beta 60.00
_cell_angle_gamma 60.00
_space_group_name_H-M_alt 'P 1'
_space_group_IT_number 1
loop_
_space_group_symop_operation_xyz
'x,y,z'
loop_
_atom_site_label
_atom_site_type_symbol
_atom_site_fract_x
_atom_site_fract_y
_atom_site_fract_z
Co1 Co 0.7500 0.7500 0.7500
Ni1 Ni 0.5000 0.5000 0.5000
Re1 Re 0.2500 0.2500 0.2500
Si1 Si 0.0000 0.0000 0.0000
```

Values from the calculation:
offset from the most stable computed form = 0.000 eV per atom
electronic total energy = -7.74 eV per atom